A plane-wave DFT calculation with PBE was carried out for an optimized crystal structure of SmPaRuN4.

Output
Its total energy is -8.953 eV per atom.

abc: 6.6776 6.6776 6.6776
angles: 146.32 146.32 48.37
Closest atoms and distances in Å follow each position.
Element x y z (fractional)
Sm1 0.0000 0.0000 0.0000  1 N 2.23
Pa1 0.7148 0.7148 0.0000  1 N 2.13
Ru1 0.3544 0.3544 0.0000  5 N 1.94-2.09
N1 0.1829 0.1829 0.0000  1 Ru 2.09, 1 Sm 2.23
N2 0.3450 0.8450 0.5000  2 Ru 1.94
N3 0.5400 0.5400 0.0000  1 Pa 2.13, 1 Ru 2.26
N4 0.8450 0.3450 0.5000  2 Ru 1.94